Crystalline Mg7In4Pb at its relaxed geometry, computed with PBE.

a b c (Å): 3.3597 3.3597 29.9110
angles (deg): 90.00 90.00 120.00
Space group P-3m1 (No. 164)
Unique sites:
Mg (0.0000, 0.0000, 0.0000) x1
Mg (0.0000, 0.0000, 0.2484) x2
Mg (0.3333, 0.6667, 0.1655) x2
Mg (0.3333, 0.6667, 0.4143) x2
In (0.3333, 0.6667, 0.6684) x2
In (0.3333, 0.6667, 0.9179) x2
Pb (0.0000, 0.0000, 0.5000) x1

Values from the calculation:
- Calculated formation energy: -0.04 eV per atom
- Size of the total moment: 0.000 Bohr magnetons per cell
- Calculated volume: 24.4 Å³/atom
- Density: 4.8 g/cm³